The following is a DFT calculation (PBE-GGA) of crystalline Mn3Ir at its relaxed geometry.

Output
Its calculated density is 12.4 g cm⁻³. Its spin magnetization is 0.16 μB per formula unit. The calculation puts the total energy at -36.7 eV per cell. Its space group is Imm2. Its formation energy is -0.084 eV per atom. The density of states at the Fermi level comes out at 1.053 states/eV/atom.

Lattice parameters (Å, degrees): 4.457 4.849 2.610 74.39 90.00 117.36
Each line ends with the local moment (μB).
Atoms (fractional coordinates):
1 Ir 0.997 0.000 0.000  0.03
2 Mn 0.087 0.506 0.247  -0.68
3 Mn 0.501 0.000 0.500  1.47
4 Mn 0.582 0.494 0.753  -0.68